# 1
# K2TeAu

K2TeAu at its PBEsol-relaxed geometry (SCAN, Alexandria).

formation energy from raw total energies = -60.27 kJ/mol of atoms

a = 4.543 Å, b = 5.311 Å, c = 10.556 Å
α = 90.00°, β = 90.00°, γ = 90.00°
Space group Imm2 (No. 44)
One atom of each set of equivalent atoms:
K1 0.000 0.000 0.000 (multiplicity 2)
K2 0.000 0.500 0.204 (multiplicity 2)
Te1 0.000 0.500 0.780 (multiplicity 2)
Au1 0.000 0.000 0.428 (multiplicity 2)

# 2
# KTeAu3

KTeAu3 at its PBEsol-relaxed geometry (SCAN, Alexandria).

formation energy from raw total energies = 124.47 kJ/mol of atoms

a = 5.217 Å, b = 5.217 Å, c = 5.217 Å
α = 90.00°, β = 90.00°, γ = 90.00°
Space group Pm-3m (No. 221)
One atom of each set of equivalent atoms:
K1 0.000 0.000 0.000 (multiplicity 1)
Te1 0.500 0.500 0.500 (multiplicity 1)
Au1 0.000 0.000 0.500 (multiplicity 3)

# 3
# K2TeAu

K2TeAu at its PBEsol-relaxed geometry (SCAN, Alexandria).

formation energy from raw total energies = -59.78 kJ/mol of atoms

a = 9.136 Å, b = 9.136 Å, c = 5.993 Å
α = 90.00°, β = 90.00°, γ = 90.00°
Space group I-42d (No. 122)
One atom of each set of equivalent atoms:
K1 0.221 0.250 0.125 (multiplicity 8)
Te1 0.000 0.000 0.500 (multiplicity 4)
Au1 0.000 0.000 0.000 (multiplicity 4)

# 4
# KTiAu3

KTiAu3 at its PBEsol-relaxed geometry (SCAN, Alexandria).

uncorrected energy = -225.403 eV/cell

a = 5.176 Å, b = 5.176 Å, c = 5.176 Å
α = 90.00°, β = 90.00°, γ = 90.00°
Space group Pm-3m (No. 221)
One atom of each set of equivalent atoms:
K1 0.000 0.000 0.000 (multiplicity 1)
Ti1 0.500 0.500 0.500 (multiplicity 1)
Au1 0.000 0.000 0.500 (multiplicity 3)

# 5
# KTl2Au2

KTl2Au2 at its PBEsol-relaxed geometry (SCAN, Alexandria).

relative energy among the computed polymorphs = 0.0 kJ per mole of atoms

a = 5.154 Å, b = 5.154 Å, c = 10.446 Å
α = 90.00°, β = 90.00°, γ = 90.00°
Space group I4/mmm (No. 139)
One atom of each set of equivalent atoms:
K1 0.000 0.000 0.000 (multiplicity 2)
Tl1 0.000 0.000 0.356 (multiplicity 4)
Au1 0.000 0.500 0.250 (multiplicity 4)

# 6
# KTlAu

KTlAu at its PBEsol-relaxed geometry (SCAN, Alexandria).

uncorrected energy = -150.605 eV/cell

a = 4.9154 Å, b = 4.9154 Å, c = 4.1625 Å
α = 90.00°, β = 90.00°, γ = 120.00°
Space group P-6m2 (No. 187)
One atom of each set of equivalent atoms:
K1 0.0000 0.0000 0.0000 (multiplicity 1)
Tl1 0.6667 0.3333 0.5000 (multiplicity 1)
Au1 0.3333 0.6667 0.5000 (multiplicity 1)

# 7
# KTl2Au2

KTl2Au2 at its PBEsol-relaxed geometry (SCAN, Alexandria).

relative energy among the computed polymorphs = 8.3 kJ per mole of atoms

a = 8.700 Å, b = 8.700 Å, c = 3.238 Å
α = 90.00°, β = 90.00°, γ = 90.00°
Space group P4/mbm (No. 127)
One atom of each set of equivalent atoms:
K1 0.000 0.000 0.000 (multiplicity 2)
Tl1 0.131 0.369 0.000 (multiplicity 4)
Au1 0.167 0.667 0.500 (multiplicity 4)

# 8
# KTlAu

KTlAu at its PBEsol-relaxed geometry (SCAN, Alexandria).

uncorrected energy = -301.107 eV/cell

a = 3.758 Å, b = 3.771 Å, c = 11.861 Å
α = 90.00°, β = 90.00°, γ = 90.00°
Space group Imm2 (No. 44)
One atom of each set of equivalent atoms:
K1 0.000 0.000 0.000 (multiplicity 2)
Tl1 0.000 0.000 0.709 (multiplicity 2)
Au1 0.000 0.000 0.308 (multiplicity 2)

# 9
# KTlAu4

KTlAu4 at its PBEsol-relaxed geometry (SCAN, Alexandria).

uncorrected energy = -1434.041 eV/cell

a = 7.945 Å, b = 7.945 Å, c = 7.945 Å
α = 90.00°, β = 90.00°, γ = 90.00°
Space group F-43m (No. 216)
One atom of each set of equivalent atoms:
K1 0.000 0.000 0.000 (multiplicity 4)
Tl1 0.250 0.250 0.250 (multiplicity 4)
Au1 0.125 0.125 0.625 (multiplicity 16)

# 10
# K2WAu

K2WAu at its PBEsol-relaxed geometry (SCAN, Alexandria).

relative energy among the computed polymorphs = 0.0 kJ per mole of atoms

a = 2.748 Å, b = 5.848 Å, c = 5.314 Å
α = 90.00°, β = 93.44°, γ = 90.00°
Space group P2/m (No. 10)
One atom of each set of equivalent atoms:
K1 0.211 0.000 0.255 (multiplicity 2)
W1 0.500 0.500 0.000 (multiplicity 1)
Au1 0.000 0.500 0.500 (multiplicity 1)

# 11
# K2WAu

K2WAu at its PBEsol-relaxed geometry (SCAN, Alexandria).

relative energy among the computed polymorphs = 19.4 kJ per mole of atoms

a = 7.483 Å, b = 7.483 Å, c = 7.483 Å
α = 90.00°, β = 90.00°, γ = 90.00°
Space group F-43m (No. 216)
One atom of each set of equivalent atoms:
K1 0.000 0.000 0.000 (multiplicity 4)
K2 0.250 0.250 0.250 (multiplicity 4)
W1 0.250 0.250 0.750 (multiplicity 4)
Au1 0.000 0.000 0.500 (multiplicity 4)

# 12
# KWAu

KWAu at its PBEsol-relaxed geometry (SCAN, Alexandria).

uncorrected energy = -288.938 eV/cell

a = 2.771 Å, b = 2.771 Å, c = 15.728 Å
α = 90.00°, β = 90.00°, γ = 90.00°
Space group I4mm (No. 107)
One atom of each set of equivalent atoms:
K1 0.000 0.000 0.000 (multiplicity 2)
W1 0.000 0.000 0.693 (multiplicity 2)
Au1 0.000 0.000 0.324 (multiplicity 2)

# 13
# KW2Au

KW2Au at its PBEsol-relaxed geometry (SCAN, Alexandria).

relative energy among the computed polymorphs = 44.1 kJ per mole of atoms

a = 2.653 Å, b = 5.097 Å, c = 5.567 Å
α = 90.00°, β = 90.00°, γ = 90.00°
Space group Pmmm (No. 47)
One atom of each set of equivalent atoms:
K1 0.000 0.000 0.000 (multiplicity 1)
W1 0.000 0.500 0.500 (multiplicity 1)
W2 0.500 0.000 0.500 (multiplicity 1)
Au1 0.500 0.500 0.000 (multiplicity 1)

# 14
# KW2Au

KW2Au at its PBEsol-relaxed geometry (SCAN, Alexandria).

relative energy among the computed polymorphs = 46.1 kJ per mole of atoms

a = 2.675 Å, b = 5.483 Å, c = 5.126 Å
α = 90.00°, β = 90.44°, γ = 90.00°
Space group P2/m (No. 10)
One atom of each set of equivalent atoms:
K1 0.000 0.000 0.000 (multiplicity 1)
W1 0.328 0.500 0.744 (multiplicity 2)
Au1 0.500 0.000 0.500 (multiplicity 1)

# 15
# KW2Au

KW2Au at its PBEsol-relaxed geometry (SCAN, Alexandria).

relative energy among the computed polymorphs = 0.0 kJ per mole of atoms

a = 2.720 Å, b = 2.720 Å, c = 10.254 Å
α = 90.00°, β = 90.00°, γ = 90.00°
Space group P4mm (No. 99)
One atom of each set of equivalent atoms:
K1 0.000 0.000 0.000 (multiplicity 1)
W1 0.000 0.000 0.519 (multiplicity 1)
W2 0.500 0.500 0.305 (multiplicity 1)
Au1 0.500 0.500 0.726 (multiplicity 1)

# 16
# KW3Au

KW3Au at its PBEsol-relaxed geometry (SCAN, Alexandria).

uncorrected energy = -272.381 eV/cell

a = 4.936 Å, b = 4.936 Å, c = 4.936 Å
α = 90.00°, β = 90.00°, γ = 90.00°
Space group Pm-3m (No. 221)
One atom of each set of equivalent atoms:
K1 0.000 0.000 0.000 (multiplicity 1)
W1 0.000 0.500 0.500 (multiplicity 3)
Au1 0.500 0.500 0.500 (multiplicity 1)

# 17
# KYAu

KYAu at its PBEsol-relaxed geometry (SCAN, Alexandria).

uncorrected energy = -422.898 eV/cell

a = 7.156 Å, b = 7.156 Å, c = 7.156 Å
α = 90.00°, β = 90.00°, γ = 90.00°
Space group F-43m (No. 216)
One atom of each set of equivalent atoms:
K1 0.000 0.000 0.000 (multiplicity 4)
Y1 0.000 0.000 0.500 (multiplicity 4)
Au1 0.250 0.250 0.750 (multiplicity 4)

# 18
# KZn2Au

KZn2Au at its PBEsol-relaxed geometry (SCAN, Alexandria).

relative energy among the computed polymorphs = 30.2 kJ per mole of atoms

a = 2.791 Å, b = 5.562 Å, c = 10.955 Å
α = 90.00°, β = 90.00°, γ = 90.00°
Space group Immm (No. 71)
One atom of each set of equivalent atoms:
K1 0.000 0.000 0.000 (multiplicity 2)
Zn1 0.000 0.500 0.206 (multiplicity 4)
Au1 0.000 0.000 0.500 (multiplicity 2)

# 19
# K2ZnAu

K2ZnAu at its PBEsol-relaxed geometry (SCAN, Alexandria).

relative energy among the computed polymorphs = 17.8 kJ per mole of atoms

a = 5.518 Å, b = 5.518 Å, c = 7.953 Å
α = 90.00°, β = 90.00°, γ = 90.00°
Space group I4/mmm (No. 139)
One atom of each set of equivalent atoms:
K1 0.000 0.500 0.250 (multiplicity 4)
Zn1 0.000 0.000 0.000 (multiplicity 2)
Au1 0.000 0.000 0.500 (multiplicity 2)

# 20
# KZn2Au

KZn2Au at its PBEsol-relaxed geometry (SCAN, Alexandria).

relative energy among the computed polymorphs = 0.1 kJ per mole of atoms

a = 7.668 Å, b = 4.448 Å, c = 6.427 Å
α = 90.00°, β = 113.58°, γ = 90.00°
Space group C2/m (No. 12)
One atom of each set of equivalent atoms:
K1 0.000 0.000 0.000 (multiplicity 2)
Zn1 0.183 0.000 0.548 (multiplicity 4)
Au1 0.000 0.500 0.500 (multiplicity 2)